## GaTe2AuN (SCAN)

Data for a PBEsol-optimized structure of GaTe2AuN.

Cell and atoms, written as extended XYZ:
```
5
Lattice="5.588 0.000 0.000 0.000 5.588 0.000 0.000 0.000 3.439" Properties=species:S:1:pos:R:3 pbc="T T T"
Ga 0.000 0.000 0.000
Te 0.000 2.794 0.000
Te 2.794 0.000 0.000
Au 2.794 2.794 1.719
N 0.000 0.000 1.719
```

## Properties
Formation energy from raw total energies (eV/atom): 0.749
Magnetic moment (μB/f.u.): 0.00

---

## Na2GaAu2 (SCAN)

Data for a PBEsol-optimized structure of Na2GaAu2.

Cell and atoms, written as extended XYZ:
```
10
Lattice="6.704 0.000 0.000 0.000 6.704 0.000 0.000 0.000 4.692" Properties=species:S:1:pos:R:3 pbc="T T T"
Na 1.110 2.242 0.000
Na 2.242 5.594 0.000
Na 4.461 1.110 0.000
Na 5.594 4.461 0.000
Ga 0.000 0.000 2.346
Ga 3.352 3.352 2.346
Au 0.976 4.328 2.346
Au 2.376 0.976 2.346
Au 4.328 5.728 2.346
Au 5.728 2.376 2.346
```

## Properties
Energy of formation (eV per atom): -0.380
Magnetic moment (μB/f.u.): 0.00

---

## NaGa2Au2 (SCAN)

Data for a PBEsol-optimized structure of NaGa2Au2.

Cell and atoms, written as extended XYZ:
```
10
Lattice="8.088 0.000 0.000 0.000 8.088 0.000 0.000 0.000 2.759" Properties=species:S:1:pos:R:3 pbc="T T T"
Na 0.000 0.000 0.000
Na 4.044 4.044 0.000
Ga 1.100 2.944 1.380
Ga 2.944 6.988 1.380
Ga 5.144 1.100 1.380
Ga 6.988 5.144 1.380
Au 1.305 5.349 0.000
Au 2.739 1.305 0.000
Au 5.349 6.783 0.000
Au 6.783 2.739 0.000
```

## Properties
Energy of formation (eV per atom): -0.278
Magnetic moment (μB/f.u.): 0.00

---

## NaGa2Au2 (SCAN)

Data for a PBEsol-optimized structure of NaGa2Au2.

Cell and atoms, written as extended XYZ:
```
5
Lattice="-2.094 2.094 5.726 2.094 -2.094 5.726 2.094 2.094 -5.726" Properties=species:S:1:pos:R:3 pbc="T T T"
Na 0.000 0.000 0.000
Ga 2.094 0.000 2.863
Ga 0.000 2.094 2.863
Au 0.000 0.000 4.387
Au 0.000 0.000 7.065
```

## Properties
Energy of formation (eV per atom): -0.381
Magnetic moment (μB/f.u.): 0.00

---

## Na2Ga2Au (SCAN)

Data for a PBEsol-optimized structure of Na2Ga2Au.

Cell and atoms, written as extended XYZ:
```
10
Lattice="6.592 0.000 0.000 0.000 6.592 0.000 0.000 0.000 4.923" Properties=species:S:1:pos:R:3 pbc="T T T"
Na 1.179 2.117 0.000
Na 2.117 5.413 0.000
Na 4.475 1.179 0.000
Na 5.413 4.475 0.000
Ga 0.884 4.180 2.462
Ga 2.412 0.884 2.462
Ga 4.180 5.708 2.462
Ga 5.708 2.412 2.462
Au 0.000 0.000 2.462
Au 3.296 3.296 2.462
```

## Properties
Energy of formation (eV per atom): -0.306
Magnetic moment (μB/f.u.): 0.00

---

## NaGaRh2Au (SCAN)

Data for a PBEsol-optimized structure of NaGaRh2Au.

Cell and atoms, written as extended XYZ:
```
5
Lattice="4.483 0.000 0.000 0.000 4.483 0.000 0.000 0.000 4.516" Properties=species:S:1:pos:R:3 pbc="T T T"
Na 0.000 0.000 0.000
Ga 2.242 2.242 2.258
Rh 0.000 2.242 0.000
Rh 2.242 0.000 0.000
Au 0.000 0.000 2.258
```

## Properties
Energy of formation (eV per atom): 1.401
Magnetic moment (μB/f.u.): 0.83

---

## Na2GaAuS (SCAN)

Data for a PBEsol-optimized structure of Na2GaAuS.

Cell and atoms, written as extended XYZ:
```
5
Lattice="5.364 0.000 0.000 0.000 5.364 0.000 0.000 0.000 4.781" Properties=species:S:1:pos:R:3 pbc="T T T"
Na 0.000 2.682 0.000
Na 2.682 0.000 0.000
Ga 0.000 0.000 2.390
Au 2.682 2.682 0.000
S 2.682 2.682 2.390
```

## Properties
Formation energy from raw total energies (eV/atom): -0.024
Magnetic moment (μB/f.u.): 0.00

---

## NaGaAu2Se (SCAN)

Data for a PBEsol-optimized structure of NaGaAu2Se.

Cell and atoms, written as extended XYZ:
```
5
Lattice="5.019 0.000 0.000 0.000 5.019 0.000 0.000 0.000 5.076" Properties=species:S:1:pos:R:3 pbc="T T T"
Na 0.000 0.000 0.000
Ga 2.509 2.509 0.000
Au 0.000 2.509 2.538
Au 2.509 0.000 2.538
Se 0.000 0.000 2.538
```

## Properties
Formation energy from raw total energies (eV/atom): 0.136
Magnetic moment (μB/f.u.): 0.00

---

## NaGaW2Au (SCAN)

Data for a PBEsol-optimized structure of NaGaW2Au.

Cell and atoms, written as extended XYZ:
```
5
Lattice="4.660 0.000 0.000 0.000 4.660 0.000 0.000 0.000 4.777" Properties=species:S:1:pos:R:3 pbc="T T T"
Na 0.000 0.000 0.000
Ga 2.330 2.330 2.389
W 0.000 2.330 2.389
W 2.330 0.000 2.389
Au 2.330 2.330 0.000
```

## Properties
Energy of formation (eV per atom): 1.774
Magnetic moment (μB/f.u.): 0.00

---

## Nb3GaAu (SCAN)

Data for a PBEsol-optimized structure of Nb3GaAu.

Cell and atoms, written as extended XYZ:
```
5
Lattice="4.660 0.000 0.000 0.000 4.660 0.000 0.000 0.000 4.660" Properties=species:S:1:pos:R:3 pbc="T T T"
Nb 0.000 0.000 2.330
Nb 0.000 2.330 0.000
Nb 2.330 0.000 0.000
Ga 0.000 0.000 0.000
Au 2.330 2.330 2.330
```

## Properties
Energy of formation (eV per atom): 0.936
Magnetic moment (μB/f.u.): 1.17

---

## Nd2Ga5Au3 (SCAN)

Data for a PBEsol-optimized structure of Nd2Ga5Au3.

Cell and atoms, written as extended XYZ:
```
10
Lattice="4.220 0.000 0.000 0.000 4.220 0.000 0.000 0.000 11.155" Properties=species:S:1:pos:R:3 pbc="T T T"
Nd 0.000 2.110 2.751
Nd 2.110 0.000 8.404
Ga 0.000 0.000 0.000
Ga 0.000 0.000 5.577
Ga 0.000 2.110 9.696
Ga 2.110 0.000 1.459
Ga 2.110 2.110 0.000
Au 0.000 2.110 7.260
Au 2.110 0.000 3.895
Au 2.110 2.110 5.577
```

## Properties
Energy of formation (eV per atom): -0.667
Magnetic moment (μB/f.u.): 0.00

---

## Ga2Ni2Au (SCAN)

Data for a PBEsol-optimized structure of Ga2Ni2Au.

Cell and atoms, written as extended XYZ:
```
10
Lattice="6.885 0.000 0.000 0.000 6.885 0.000 0.000 0.000 2.777" Properties=species:S:1:pos:R:3 pbc="T T T"
Ga 1.005 2.438 0.000
Ga 2.438 5.880 0.000
Ga 4.447 1.005 0.000
Ga 5.880 4.447 0.000
Ni 1.012 4.454 1.388
Ni 2.431 1.012 1.388
Ni 4.454 5.873 1.388
Ni 5.873 2.431 1.388
Au 0.000 0.000 0.000
Au 3.442 3.442 0.000
```

## Properties
Energy of formation (eV per atom): -0.266
Magnetic moment (μB/f.u.): 0.00

---

## Ga2ReNiAu (SCAN)

Data for a PBEsol-optimized structure of Ga2ReNiAu.

Cell and atoms, written as extended XYZ:
```
5
Lattice="4.311 0.000 0.000 0.000 4.311 0.000 0.000 0.000 4.533" Properties=species:S:1:pos:R:3 pbc="T T T"
Ga 0.000 2.156 0.000
Ga 2.156 0.000 0.000
Re 0.000 0.000 2.266
Ni 0.000 0.000 0.000
Au 2.156 2.156 2.266
```

## Properties
Energy of formation (eV per atom): 0.736
Magnetic moment (μB/f.u.): 0.00

---

## GaAuO2 (SCAN)

Data for a PBEsol-optimized structure of GaAuO2.

Cell and atoms, written as extended XYZ:
```
8
Lattice="3.000 0.000 0.000 -1.500 2.598 0.000 0.000 0.000 12.288" Properties=species:S:1:pos:R:3 pbc="T T T"
Ga 0.000 0.000 0.000
Ga 0.000 0.000 6.144
Au 0.000 1.732 3.072
Au 1.500 0.866 9.216
O 0.000 1.732 0.996
O 0.000 1.732 5.148
O 1.500 0.866 7.140
O 1.500 0.866 11.293
```

## Properties
Formation energy from raw total energies (eV/atom): -1.315
Magnetic moment (μB/f.u.): 0.00

---

## Ga2PWAu (SCAN)

Data for a PBEsol-optimized structure of Ga2PWAu.

Cell and atoms, written as extended XYZ:
```
5
Lattice="4.692 0.000 0.000 0.000 4.692 0.000 0.000 0.000 4.908" Properties=species:S:1:pos:R:3 pbc="T T T"
Ga 0.000 2.346 0.000
Ga 2.346 0.000 0.000
P 0.000 0.000 2.454
W 2.346 2.346 2.454
Au 0.000 0.000 0.000
```

## Properties
Energy of formation (eV per atom): 1.450
Magnetic moment (μB/f.u.): 3.68

---

## GaPb2Au2 (SCAN)

Data for a PBEsol-optimized structure of GaPb2Au2.

Cell and atoms, written as extended XYZ:
```
10
Lattice="6.800 0.000 0.000 0.000 6.800 0.000 0.000 0.000 4.917" Properties=species:S:1:pos:R:3 pbc="T T T"
Ga 0.000 0.000 0.000
Ga 3.400 3.400 0.000
Pb 1.194 2.206 2.458
Pb 2.206 5.606 2.458
Pb 4.594 1.194 2.458
Pb 5.606 4.594 2.458
Au 0.981 4.381 0.000
Au 2.419 0.981 0.000
Au 4.381 5.819 0.000
Au 5.819 2.419 0.000
```

## Properties
Energy of formation (eV per atom): -0.024
Magnetic moment (μB/f.u.): 0.00

---

## Ga2PbAu2 (SCAN)

Data for a PBEsol-optimized structure of Ga2PbAu2.

Cell and atoms, written as extended XYZ:
```
5
Lattice="-2.028 2.028 6.078 2.028 -2.028 6.078 2.028 2.028 -6.078" Properties=species:S:1:pos:R:3 pbc="T T T"
Ga 2.028 0.000 3.039
Ga 0.000 2.028 3.039
Pb 0.000 0.000 0.000
Au 0.000 0.000 4.687
Au 0.000 0.000 7.468
```

## Properties
Energy of formation (eV per atom): -0.188
Magnetic moment (μB/f.u.): 0.00

---

## GaPbAu3 (SCAN)

Data for a PBEsol-optimized structure of GaPbAu3.

Cell and atoms, written as extended XYZ:
```
5
Lattice="4.828 0.000 0.000 0.000 4.828 0.000 0.000 0.000 4.828" Properties=species:S:1:pos:R:3 pbc="T T T"
Ga 0.000 0.000 0.000
Pb 2.414 2.414 2.414
Au 0.000 0.000 2.414
Au 0.000 2.414 0.000
Au 2.414 0.000 0.000
```

## Properties
Energy of formation (eV per atom): 0.095
Magnetic moment (μB/f.u.): 0.00

---

## Ga2Pd2Au (SCAN)

Data for a PBEsol-optimized structure of Ga2Pd2Au.

Cell and atoms, written as extended XYZ:
```
10
Lattice="7.283 0.000 0.000 0.000 7.283 0.000 0.000 0.000 2.857" Properties=species:S:1:pos:R:3 pbc="T T T"
Ga 1.166 2.476 0.000
Ga 2.476 6.117 0.000
Ga 4.807 1.166 0.000
Ga 6.117 4.807 0.000
Pd 1.009 4.650 1.429
Pd 2.633 1.009 1.429
Pd 4.650 6.274 1.429
Pd 6.274 2.633 1.429
Au 0.000 0.000 1.429
Au 3.641 3.641 1.429
```

## Properties
Energy of formation (eV per atom): -0.455
Magnetic moment (μB/f.u.): 0.00

---

## Ga2Pd2Au (SCAN)

Data for a PBEsol-optimized structure of Ga2Pd2Au.

Cell and atoms, written as extended XYZ:
```
5
Lattice="-1.929 1.929 5.569 1.929 -1.929 5.569 1.929 1.929 -5.569" Properties=species:S:1:pos:R:3 pbc="T T T"
Ga 0.000 0.000 1.207
Ga 0.000 0.000 9.931
Pd 1.929 0.000 2.784
Pd 0.000 1.929 2.784
Au 0.000 0.000 5.569
```

## Properties
Energy of formation (eV per atom): -0.251
Magnetic moment (μB/f.u.): 0.00

---

## Pr2Ga5Au3 (SCAN)

Data for a PBEsol-optimized structure of Pr2Ga5Au3.

Cell and atoms, written as extended XYZ:
```
10
Lattice="4.303 0.000 0.000 0.000 4.303 0.000 0.000 0.000 10.656" Properties=species:S:1:pos:R:3 pbc="T T T"
Pr 0.000 2.152 2.644
Pr 2.152 0.000 8.012
Ga 0.000 0.000 5.328
Ga 0.000 2.152 9.206
Ga 2.152 0.000 1.450
Ga 2.152 2.152 0.000
Ga 2.152 2.152 5.328
Au 0.000 0.000 0.000
Au 0.000 2.152 6.730
Au 2.152 0.000 3.925
```

## Properties
Energy of formation (eV per atom): -0.841
Magnetic moment (μB/f.u.): 0.00

---

## Ga2Pt2Au (SCAN)

Data for a PBEsol-optimized structure of Ga2Pt2Au.

Cell and atoms, written as extended XYZ:
```
10
Lattice="7.389 0.000 0.000 0.000 7.389 0.000 0.000 0.000 2.824" Properties=species:S:1:pos:R:3 pbc="T T T"
Ga 1.156 2.538 0.000
Ga 2.538 6.233 0.000
Ga 4.851 1.156 0.000
Ga 6.233 4.851 0.000
Pt 1.051 4.745 1.412
Pt 2.644 1.051 1.412
Pt 4.745 6.338 1.412
Pt 6.338 2.644 1.412
Au 0.000 0.000 1.412
Au 3.694 3.694 1.412
```

## Properties
Energy of formation (eV per atom): -0.534
Magnetic moment (μB/f.u.): 0.00

---

## RbGaAu2 (SCAN)

Data for a PBEsol-optimized structure of RbGaAu2.

Cell and atoms, written as extended XYZ:
```
8
Lattice="-2.696 2.696 8.439 2.696 -2.696 8.439 2.696 2.696 -8.439" Properties=species:S:1:pos:R:3 pbc="T T T"
Rb 2.696 1.348 2.110
Rb 0.000 1.348 6.329
Ga 2.696 -1.348 6.329
Ga 0.000 4.045 2.110
Au 0.000 0.000 0.000
Au 1.348 1.348 -4.219
Au 1.348 -1.348 4.219
Au 0.000 2.696 0.000
```

## Properties
Energy of formation (eV per atom): -0.339
Magnetic moment (μB/f.u.): 0.00

---

## RbGa2Au3 (SCAN)

Data for a PBEsol-optimized structure of RbGa2Au3.

Cell and atoms, written as extended XYZ:
```
24
Lattice="13.367 0.000 0.000 0.000 5.561 0.000 0.000 0.000 6.996" Properties=species:S:1:pos:R:3 pbc="T T T"
Rb 0.987 1.390 0.715
Rb 5.697 4.171 4.213
Rb 7.670 1.390 2.783
Rb 12.380 4.171 6.281
Ga 2.042 2.792 4.260
Ga 2.042 5.550 4.260
Ga 4.641 0.011 0.762
Ga 4.641 2.770 0.762
Ga 8.726 2.792 6.234
Ga 8.726 5.550 6.234
Ga 11.325 0.011 2.736
Ga 11.325 2.770 2.736
Au 0.092 4.171 2.959
Au 2.826 4.171 2.131
Au 2.890 4.171 6.264
Au 3.793 1.390 2.766
Au 3.857 1.390 5.629
Au 6.592 1.390 6.457
Au 6.775 4.171 0.539
Au 9.510 4.171 1.367
Au 9.574 4.171 4.230
Au 10.476 1.390 0.732
Au 10.540 1.390 4.865
Au 13.275 1.390 4.037
```

## Properties
Energy of formation (eV per atom): -0.444
Magnetic moment (μB/f.u.): 0.00

---

## RbTaGa2Au (SCAN)

Data for a PBEsol-optimized structure of RbTaGa2Au.

Cell and atoms, written as extended XYZ:
```
5
Lattice="5.183 0.000 0.000 0.000 5.183 0.000 0.000 0.000 5.298" Properties=species:S:1:pos:R:3 pbc="T T T"
Rb 0.000 0.000 0.000
Ta 2.592 2.592 2.649
Ga 0.000 2.592 0.000
Ga 2.592 0.000 0.000
Au 0.000 0.000 2.649
```

## Properties
Energy of formation (eV per atom): 2.231
Magnetic moment (μB/f.u.): 2.69